Below is a relaxed YCd2Sn3 crystal, with properties calculated at the PBE level.

abc: 4.652 14.720 4.434
angles: 90.00 90.00 90.00
Space group Cmmm (No. 65)
Inequivalent atoms, fractional coordinates:
Y 0.000 0.000 0.000 x2
Cd 0.000 0.336 0.000 x4
Sn 0.000 0.171 0.500 x4
Sn 0.000 0.500 0.500 x2

Summary:
ΔE_f	-0.25	eV per atom
DFT total energy	-3.635	eV/atom